## K2SrVB5O12 (PBE with a Hubbard U)

Data for crystalline K2SrVB5O12 at its relaxed geometry.

Cell: 6.715 8.622 10.075 Å, 90.00 99.54 90.00°
Space group P2_1 (No. 4)
One atom of each set of equivalent atoms:
K1 0.098 0.000 0.403 x2
K2 0.168 0.413 0.256 x2
Sr1 0.430 0.532 0.972 x2
V1 0.340 0.746 0.693 x2
B1 0.019 0.219 0.909 x2
B2 0.121 0.981 0.069 x2
B3 0.280 0.224 0.746 x2
B4 0.340 0.775 0.198 x2
B5 0.478 0.239 0.565 x2
O1 0.043 0.384 0.961 x2
O2 0.094 0.208 0.779 x2
O3 0.129 0.841 0.625 x2
O4 0.140 0.123 0.012 x2
O5 0.196 0.674 0.115 x2
O6 0.270 0.564 0.733 x2
O7 0.289 0.939 0.162 x2
O8 0.293 0.218 0.608 x2
O9 0.347 0.753 0.344 x2
O10 0.455 0.243 0.840 x2
O11 0.458 0.830 0.841 x2
O12 0.473 0.240 0.428 x2

Crystal system: monoclinic
Volume: 575 Å³ per cell
Total DFT energy (no corrections): -310.8 eV/cell
Magnetic moment: 0.06 μB per formula unit
ρ: 2.67 Mg/m³
Density of states at the Fermi level: 0.0 states/eV/f.u.